[1]
Here is a geometry-optimized ZrRe2P structure from the Alexandria database. Energies are from PBE.

Structure (POSCAR):
```
ZrRe2P
1.0
-0.937 0.967 -3.611
1.946 -2.211 -1.098
-3.163 -4.481 -0.379
P Re Zr
1 2 1
Direct
0.500 0.962 0.710
0.500 0.174 0.229
0.000 0.834 0.019
0.000 0.531 0.542
```

Properties
Energy of formation from the pure elements = -0.212 eV/atom
Size of the total moment = 0.0 μB/cell


[2]
Here is a geometry-optimized Pm2Sm2Co2Cl structure from the Alexandria database. Energies are from PBE.

Structure (POSCAR):
```
Pm2Sm2Co2Cl
1.0
-0.833 -3.431 1.131
7.267 -3.529 0.724
2.402 -0.385 6.677
Sm Co Cl Pm
2 2 1 2
Direct
0.519 0.276 0.685
0.481 0.724 0.315
0.102 0.472 0.324
0.898 0.528 0.676
0.000 0.000 0.000
0.766 0.306 0.162
0.234 0.694 0.838
```

Properties
ΔE_f (raw) = -3.27 eV per formula unit
Size of the total moment = 0.0 μB/cell


[3]
Here is a geometry-optimized Hf4TiRh2 structure from the Alexandria database. Energies are from PBE.

Structure (POSCAR):
```
Hf4TiRh2
1.0
-3.455 -2.468 -1.839
0.630 -2.238 -4.001
1.519 -7.972 2.023
Rh Hf Ti
2 4 1
Direct
0.399 0.399 0.802
0.601 0.601 0.198
0.709 0.709 0.874
0.879 0.879 0.363
0.121 0.121 0.637
0.291 0.291 0.126
0.500 0.500 0.500
```

Properties
Energy of formation from the pure elements = -0.171 eV/atom
Size of the total moment = 0.0 μB/cell


[4]
Here is a geometry-optimized TiNbMo2 structure from the Alexandria database. Energies are from PBE.

Structure (POSCAR):
```
TiNbMo2
1.0
-3.046 -1.029 0.104
1.459 -4.307 0.107
0.207 0.293 8.956
Mo Nb Ti
4 2 2
Direct
0.000 0.750 0.878
0.000 0.750 0.373
0.000 0.250 0.627
0.000 0.250 0.122
0.500 0.750 0.630
0.500 0.250 0.370
0.500 0.250 0.880
0.500 0.750 0.120
```

Properties
Energy of formation from the pure elements = -0.097 eV/atom
Size of the total moment = 0.0 μB/cell
Relative energy among the computed polymorphs = 8.7 meV/atom


[5]
Here is a geometry-optimized Tm4SiTeSe2 structure from the Alexandria database. Energies are from PBE.

Structure (POSCAR):
```
Tm4SiTeSe2
1.0
4.100 0.000 0.000
0.000 7.067 -0.113
0.000 2.516 6.793
Se Tm Te Si
2 4 1 1
Direct
0.000 0.000 0.000
0.500 0.000 0.500
0.500 0.740 0.273
0.000 0.755 0.721
0.500 0.260 0.727
0.000 0.245 0.279
0.500 0.500 0.000
0.000 0.500 0.500
```

Properties
ΔE_f (raw) = -11.06 eV per formula unit
Size of the total moment = 0.0 μB/cell


[6]
Here is a geometry-optimized KUTe2 structure from the Alexandria database. Energies are from PBE.

Structure (POSCAR):
```
KUTe2
1.0
-3.750 -1.577 1.798
-0.271 -4.278 1.184
1.553 0.011 8.748
Te U K
2 1 1
Direct
0.071 0.071 0.787
0.263 0.263 0.210
0.667 0.667 0.998
0.498 0.498 0.505
```

Properties
ΔE_f (raw) = -3.34 eV per formula unit
Size of the total moment = 3.0 μB/cell


[7]
Here is a geometry-optimized NaS2N2 structure from the Alexandria database. Energies are from PBE.

Structure (POSCAR):
```
NaS2N2
1.0
3.692 0.000 0.000
0.000 3.692 0.000
0.000 0.000 4.828
S N Na
2 2 1
Direct
0.000 0.000 0.000
0.000 0.000 0.500
0.500 0.000 0.000
0.000 0.500 0.000
0.500 0.500 0.500
```

Properties
ΔE_f (raw) = 6.12 eV per formula unit
Size of the total moment = 1.6 μB/cell
Relative energy among the computed polymorphs = 1478.5 meV/atom


[8]
Here is a geometry-optimized Co2SeBr structure from the Alexandria database. Energies are from PBE.

Structure (POSCAR):
```
Co2SeBr
1.0
-0.323 -0.755 2.971
4.435 0.013 0.485
-0.131 4.326 1.086
Co Se Br
2 1 1
Direct
0.000 0.000 0.000
0.000 0.500 0.500
0.500 0.500 0.000
0.500 0.000 0.500
```

Properties
ΔE_f (raw) = 2.36 eV per formula unit
Size of the total moment = 2.9 μB/cell
Relative energy among the computed polymorphs = 652.8 meV/atom


[9]
Here is a geometry-optimized Pr6CuRu2Cl3 structure from the Alexandria database. Energies are from PBE.

Structure (POSCAR):
```
Pr6CuRu2Cl3
1.0
-1.547 6.074 -3.360
-1.296 -6.239 -3.156
-6.092 -0.038 5.244
Ru Pr Cu Cl
2 6 1 3
Direct
0.666 0.334 0.000
0.334 0.666 0.000
0.416 0.069 0.207
0.584 0.931 0.793
0.278 0.278 0.793
0.722 0.722 0.207
0.069 0.416 0.207
0.931 0.584 0.793
0.000 0.000 0.000
0.500 0.500 0.500
0.829 0.171 0.500
0.171 0.829 0.500
```

Properties
ΔE_f (raw) = -10.60 eV per formula unit
Size of the total moment = 0.0 μB/cell


[10]
Here is a geometry-optimized ErHgPd14 structure from the Alexandria database. Energies are from PBE.

Structure (POSCAR):
```
ErHgPd14
1.0
5.640 0.756 0.000
-0.757 5.639 0.000
0.000 0.000 8.005
Pd Er Hg
14 1 1
Direct
0.125 0.375 0.256
0.875 0.625 0.000
0.125 0.375 0.744
0.875 0.125 0.500
0.375 0.625 0.500
0.625 0.875 0.744
0.375 0.125 0.000
0.125 0.875 0.256
0.625 0.375 0.256
0.125 0.875 0.744
0.625 0.375 0.744
0.625 0.875 0.256
0.875 0.625 0.500
0.375 0.125 0.500
0.875 0.125 0.000
0.375 0.625 0.000
```

Properties
Energy of formation from the pure elements = -0.236 eV/atom
Size of the total moment = 0.0 μB/cell


[11]
Here is a geometry-optimized Ga3HgAs structure from the Alexandria database. Energies are from PBE.

Structure (POSCAR):
```
Ga3HgAs
1.0
-4.429 2.300 -1.126
-0.446 -2.908 -4.185
-2.522 -3.525 2.718
Hg Ga As
1 3 1
Direct
0.000 0.000 0.000
0.500 0.000 0.000
0.000 0.000 0.500
0.000 0.500 0.000
0.500 0.500 0.500
```

Properties
Energy of formation from the pure elements = 0.571 eV/atom
Size of the total moment = 0.0 μB/cell
Relative energy among the computed polymorphs = 249.9 meV/atom


[12]
Here is a geometry-optimized Nd3Cu2Ir7 structure from the Alexandria database. Energies are from PBE.

Structure (POSCAR):
```
Nd3Cu2Ir7
1.0
5.149 0.000 1.612
2.322 4.595 1.612
-0.021 -0.013 9.097
Ir Cu Nd
7 2 3
Direct
0.417 0.923 0.244
0.923 0.417 0.244
0.583 0.583 0.756
0.077 0.583 0.756
0.417 0.417 0.244
0.583 0.077 0.756
0.500 0.500 0.500
0.334 0.334 0.998
0.666 0.666 0.002
0.859 0.859 0.422
0.141 0.141 0.578
0.000 0.000 0.000
```

Properties
Energy of formation from the pure elements = -0.519 eV/atom
Size of the total moment = 0.0 μB/cell


[13]
Here is a geometry-optimized ZrI2Cl structure from the Alexandria database. Energies are from PBE.

Structure (POSCAR):
```
ZrI2Cl
1.0
0.000 3.730 3.730
3.730 0.000 3.730
3.730 3.730 0.000
I Cl Zr
2 1 1
Direct
0.250 0.250 0.250
0.750 0.750 0.750
0.000 0.000 0.000
0.500 0.500 0.500
```

Properties
ΔE_f (raw) = -1.49 eV per formula unit
Size of the total moment = 1.0 μB/cell
Relative energy among the computed polymorphs = 712.0 meV/atom


[14]
Here is a geometry-optimized TmReN4 structure from the Alexandria database. Energies are from PBE.

Structure (POSCAR):
```
TmReN4
1.0
-0.127 -0.449 4.766
-3.725 -2.859 -0.938
4.571 -5.817 -0.426
N Tm Re
8 2 2
Direct
0.736 0.137 0.250
0.715 0.715 0.948
0.137 0.736 0.250
0.264 0.863 0.750
0.285 0.285 0.052
0.285 0.285 0.448
0.715 0.715 0.552
0.863 0.264 0.750
0.605 0.605 0.250
0.395 0.395 0.750
0.890 0.890 0.750
0.110 0.110 0.250
```

Properties
ΔE_f (raw) = -0.37 eV per formula unit
Size of the total moment = 3.2 μB/cell


[15]
Here is a geometry-optimized SrLa2YOs structure from the Alexandria database. Energies are from PBE.

Structure (POSCAR):
```
SrLa2YOs
1.0
5.698 0.000 0.000
0.000 5.698 0.000
0.000 0.000 5.654
La Y Os Sr
2 1 1 1
Direct
0.500 0.000 0.000
0.000 0.500 0.000
0.000 0.000 0.500
0.000 0.000 0.000
0.500 0.500 0.500
```

Properties
Energy of formation from the pure elements = -0.083 eV/atom
Size of the total moment = 0.0 μB/cell